(1)
Density functional theory data (PBE) for an optimized crystal structure of BeCoSbI2.

Cell lengths 5.2152, 5.2152, 4.9214 Å; angles 90.00, 90.00, 90.00 degrees
Last column: nearest neighbours and their distance in Å.
Element x y z (fractional)
Be  0.0000  0.0000  0.0000  2 Sb 2.46, 4 I 2.61
Co  0.5000  0.5000  0.5000  8 I 3.59, 4 Sb 3.69
Sb  0.0000  0.0000  0.5000  2 Be 2.46
I  0.0000  0.5000  0.0000  2 Be 2.61
I  0.5000  0.0000  0.0000  2 Be 2.61

Summary:
theoretical density: 5.50 g/cm³
energy above the lowest structure with this stoichiometry: 128 meV per atom
formation energy (no corrections): 0.9534 eV per atom

***

(2)
Density functional theory data (PBE) for an optimized crystal structure of As4Se3.

Cell lengths 10.0253, 8.6229, 11.1562 Å; angles 90.00, 90.00, 90.00 degrees
Last column: nearest neighbours and their distance in Å.
Element x y z (fractional)
As  0.0095  0.2500  0.0948  1 Se 2.37, 2 As 2.51
As  0.1556  0.6039  0.7787  1 Se 2.38, 2 As 2.51-2.52
As  0.1556  0.8961  0.7787  1 Se 2.38, 2 As 2.51-2.52
As  0.1751  0.2500  0.5574  3 Se 2.41
As  0.3249  0.7500  0.0574  3 Se 2.41
As  0.3444  0.1039  0.2787  1 Se 2.38, 2 As 2.51-2.52
As  0.3444  0.3961  0.2787  1 Se 2.38, 2 As 2.51-2.52
As  0.4905  0.7500  0.5948  1 Se 2.37, 2 As 2.51
As  0.5095  0.2500  0.4052  1 Se 2.37, 2 As 2.51
As  0.6556  0.6039  0.7213  1 Se 2.38, 2 As 2.51-2.52
As  0.6556  0.8961  0.7213  1 Se 2.38, 2 As 2.51-2.52
As  0.6751  0.2500  0.9426  3 Se 2.41
As  0.8249  0.7500  0.4426  3 Se 2.41
As  0.8444  0.1039  0.2213  1 Se 2.38, 2 As 2.51-2.52
As  0.8444  0.3961  0.2213  1 Se 2.38, 2 As 2.51-2.52
As  0.9905  0.7500  0.9052  1 Se 2.37, 2 As 2.51
Se  0.0888  0.7500  0.0989  2 As 2.37-2.41
Se  0.1706  0.0394  0.4154  2 As 2.38-2.41
Se  0.1706  0.4606  0.4154  2 As 2.38-2.41
Se  0.3294  0.5394  0.9154  2 As 2.38-2.41
Se  0.3294  0.9606  0.9154  2 As 2.38-2.41
Se  0.4112  0.2500  0.5989  2 As 2.37-2.41
Se  0.5888  0.7500  0.4011  2 As 2.37-2.41
Se  0.6706  0.0394  0.0846  2 As 2.38-2.41
Se  0.6706  0.4606  0.0846  2 As 2.38-2.41
Se  0.8294  0.5394  0.5846  2 As 2.38-2.41
Se  0.8294  0.9606  0.5846  2 As 2.38-2.41
Se  0.9112  0.2500  0.9011  2 As 2.37-2.41

Summary:
theoretical density: 3.70 g/cm³
formation energy (no corrections): -0.0870 eV per atom

***

(3)
Density functional theory data (PBE) for an optimized crystal structure of PuUNbOs.

Cell lengths 4.7265, 4.7265, 4.7265 Å; angles 60.00, 60.00, 60.00 degrees
Last column: nearest neighbours and their distance in Å.
Element x y z (fractional)
Pu  0.0000  0.0000  0.0000  4 U 2.89, 4 Os 2.89
U  0.7500  0.7500  0.7500  4 Nb 2.89, 4 Pu 2.89
Nb  0.5000  0.5000  0.5000  4 Os 2.89, 4 U 2.89
Os  0.2500  0.2500  0.2500  4 Nb 2.89, 4 Pu 2.89

Summary:
theoretical density: 17.02 g/cm³
energy relative to the elements: 0.056 eV per atom

***

(4)
Density functional theory data (PBE) for an optimized crystal structure of Sm3YPt.

Cell lengths 6.4647, 6.4647, 14.0639 Å; angles 114.28, 114.28, 34.14 degrees
Last column: nearest neighbours and their distance in Å.
Element x y z (fractional)
Sm  0.0000  0.0000  0.0000  10 Sm 3.59-3.91, 2 Y 3.66, 1 Pt 3.79
Sm  0.0167  0.0167  0.3603  2 Pt 3.04
Sm  0.3325  0.3325  0.7611  2 Pt 3.01
Sm  0.3506  0.3506  0.1251  9 Sm 3.59-3.91, 3 Y 3.66-3.69, 1 Pt 3.76
Sm  0.5588  0.5588  0.6012  3 Pt 2.92-3.05
Sm  0.6702  0.6702  0.8894  2 Pt 2.96
Y  0.6808  0.6808  0.2384  2 Pt 2.89
Y  0.7902  0.7902  0.5192  3 Pt 2.89-3.04
Pt  0.0053  0.0053  0.7327  6 Sm 2.92-3.01, 1 Y 3.04
Pt  0.3406  0.3406  0.3885  4 Y 2.89, 3 Sm 3.04-3.05

Summary:
theoretical density: 8.20 g/cm³
energy above the lowest structure with this stoichiometry: 0 meV per atom
energy relative to the elements: -0.504 eV per atom

***

(5)
Density functional theory data (PBE) for an optimized crystal structure of Pm2WC2.

Cell lengths 8.7015, 6.5508, 6.1561 Å; angles 90.00, 100.74, 90.00 degrees
Last column: nearest neighbours and their distance in Å.
Element x y z (fractional)
Pm  0.0472  0.2389  0.0183  3 C 2.53-2.81
Pm  0.0472  0.2611  0.5183  3 C 2.53-2.81
Pm  0.3215  0.6207  0.9024  5 C 2.55-2.75
Pm  0.3215  0.8793  0.4024  5 C 2.55-2.75
Pm  0.6785  0.1207  0.5976  5 C 2.55-2.75
Pm  0.6785  0.3793  0.0976  5 C 2.55-2.75
Pm  0.9528  0.7389  0.4817  3 C 2.53-2.81
Pm  0.9528  0.7611  0.9817  3 C 2.53-2.81
W  0.3828  0.1128  0.8592  4 C 2.09-2.16
W  0.3828  0.3872  0.3592  4 C 2.09-2.16
W  0.6172  0.6128  0.6408  4 C 2.09-2.16
W  0.6172  0.8872  0.1408  4 C 2.09-2.16
C  0.1713  0.5378  0.2474  1 W 2.09
C  0.1713  0.9622  0.7474  1 W 2.09
C  0.4723  0.1335  0.2093  3 W 2.12-2.16
C  0.4723  0.3665  0.7093  3 W 2.12-2.16
C  0.5277  0.6335  0.2907  3 W 2.12-2.16
C  0.5277  0.8665  0.7907  3 W 2.12-2.16
C  0.8287  0.0378  0.2526  1 W 2.09
C  0.8287  0.4622  0.7526  1 W 2.09

Summary:
theoretical density: 9.59 g/cm³
energy relative to the elements: -0.065 eV per atom

***

Question: Which of these has the highest theoretical density?
Answer: PuUNbOs

***

Question: The lowest theoretical density belongs to which entry?
Answer: As4Se3

***

Please write out number 4 again, unchanged.
Density functional theory data (PBE) for an optimized crystal structure of Sm3YPt.

Cell lengths 6.4647, 6.4647, 14.0639 Å; angles 114.28, 114.28, 34.14 degrees
Last column: nearest neighbours and their distance in Å.
Element x y z (fractional)
Sm  0.0000  0.0000  0.0000  10 Sm 3.59-3.91, 2 Y 3.66, 1 Pt 3.79
Sm  0.0167  0.0167  0.3603  2 Pt 3.04
Sm  0.3325  0.3325  0.7611  2 Pt 3.01
Sm  0.3506  0.3506  0.1251  9 Sm 3.59-3.91, 3 Y 3.66-3.69, 1 Pt 3.76
Sm  0.5588  0.5588  0.6012  3 Pt 2.92-3.05
Sm  0.6702  0.6702  0.8894  2 Pt 2.96
Y  0.6808  0.6808  0.2384  2 Pt 2.89
Y  0.7902  0.7902  0.5192  3 Pt 2.89-3.04
Pt  0.0053  0.0053  0.7327  6 Sm 2.92-3.01, 1 Y 3.04
Pt  0.3406  0.3406  0.3885  4 Y 2.89, 3 Sm 3.04-3.05

Summary:
theoretical density: 8.20 g/cm³
energy above the lowest structure with this stoichiometry: 0 meV per atom
energy relative to the elements: -0.504 eV per atom